Record 1
VASP calculation (PBE-GGA) on a geometry-optimized Ca3MgPt3 structure.

Cell lengths 5.663, 5.663, 14.134 Å; angles 90.00, 90.00, 135.12 degrees
Fractional coordinates of all 14 atoms:
Ca (0.013, 0.987, 0.750)
Ca (0.295, 0.705, 0.607)
Ca (0.295, 0.705, 0.893)
Ca (0.705, 0.295, 0.107)
Ca (0.705, 0.295, 0.393)
Ca (0.987, 0.013, 0.250)
Mg (0.000, 0.000, 0.000)
Mg (0.000, 0.000, 0.500)
Pt (0.280, 0.720, 0.250)
Pt (0.414, 0.586, 0.088)
Pt (0.414, 0.586, 0.412)
Pt (0.586, 0.414, 0.588)
Pt (0.586, 0.414, 0.912)
Pt (0.720, 0.280, 0.750)

Results
The uncorrected energy is -4.578 eV per atom. Its space-group type is No. 63. Its total moment is 0.00 Bohr magnetons per cell.

Record 2
VASP calculation (PBE-GGA) on a geometry-optimized YInCl2 structure.

Cell lengths 10.000, 10.000, 10.000 Å; angles 152.12, 152.12, 39.84 degrees
Fractional coordinates of all 8 atoms:
Y (0.000, 0.000, 0.000)
Y (0.750, 0.250, 0.500)
In (0.250, 0.750, 0.500)
In (0.500, 0.500, 0.000)
Cl (0.086, 0.625, 0.961)
Cl (0.375, 0.336, 0.461)
Cl (0.664, 0.125, 0.039)
Cl (0.875, 0.914, 0.539)

Results
As for the formation energy from raw total energies: -3.981 eV/f.u. The uncorrected energy is -4.219 eV per atom. The distance to the lowest polymorph of the same formula comes out at 296.4 meV/atom. Its space-group type is No. 122. Its total moment is 0.52 Bohr magnetons per cell.

Record 3
VASP calculation (PBE-GGA) on a geometry-optimized Nd2SiGePt6 structure.

Cell lengths 5.582, 8.616, 8.318 Å; angles 90.00, 90.00, 90.00 degrees
Fractional coordinates of all 20 atoms:
Nd (0.250, 0.002, 0.229)
Nd (0.250, 0.498, 0.229)
Nd (0.750, 0.502, 0.771)
Nd (0.750, 0.998, 0.771)
Si (0.250, 0.250, 0.752)
Si (0.750, 0.750, 0.248)
Ge (0.250, 0.750, 0.768)
Ge (0.750, 0.250, 0.232)
Pt (0.001, 0.750, 0.497)
Pt (0.002, 0.250, 0.985)
Pt (0.250, 0.000, 0.615)
Pt (0.250, 0.500, 0.615)
Pt (0.498, 0.250, 0.985)
Pt (0.499, 0.750, 0.497)
Pt (0.501, 0.250, 0.503)
Pt (0.502, 0.750, 0.015)
Pt (0.750, 0.000, 0.385)
Pt (0.750, 0.500, 0.385)
Pt (0.998, 0.750, 0.015)
Pt (0.999, 0.250, 0.503)

Results
As for the formation energy from raw total energies: -9.329 eV/f.u. The uncorrected energy is -6.515 eV per atom. Its space-group type is No. 59. Its total moment is 0.00 Bohr magnetons per cell.

Record 4
VASP calculation (PBE-GGA) on a geometry-optimized YMgNi17 structure.

Cell lengths 6.217, 6.217, 6.217 Å; angles 82.92, 82.92, 82.92 degrees
Fractional coordinates of all 19 atoms:
Y (0.000, 0.000, 0.000)
Mg (0.319, 0.319, 0.319)
Ni (0.009, 0.009, 0.500)
Ni (0.009, 0.500, 0.009)
Ni (0.156, 0.661, 0.661)
Ni (0.314, 0.314, 0.807)
Ni (0.314, 0.807, 0.314)
Ni (0.364, 0.657, 0.955)
Ni (0.364, 0.955, 0.657)
Ni (0.500, 0.009, 0.009)
Ni (0.557, 0.557, 0.557)
Ni (0.657, 0.364, 0.955)
Ni (0.657, 0.955, 0.364)
Ni (0.661, 0.156, 0.661)
Ni (0.661, 0.661, 0.156)
Ni (0.756, 0.756, 0.756)
Ni (0.807, 0.314, 0.314)
Ni (0.955, 0.364, 0.657)
Ni (0.955, 0.657, 0.364)

Results
The uncorrected energy is -5.685 eV per atom. Its space-group type is No. 160. Its total moment is 8.14 Bohr magnetons per cell.

Record 5
VASP calculation (PBE-GGA) on a geometry-optimized RbTlInO3 structure.

Cell lengths 7.424, 3.353, 10.308 Å; angles 90.00, 98.89, 90.00 degrees
Fractional coordinates of all 12 atoms:
Rb (0.164, 0.250, 0.213)
Rb (0.836, 0.750, 0.787)
Tl (0.182, 0.250, 0.590)
Tl (0.818, 0.750, 0.410)
In (0.369, 0.750, 0.890)
In (0.631, 0.250, 0.110)
O (0.145, 0.750, 0.441)
O (0.186, 0.250, 0.827)
O (0.427, 0.750, 0.103)
O (0.573, 0.250, 0.897)
O (0.814, 0.750, 0.173)
O (0.855, 0.250, 0.559)

Results
As for the formation energy from raw total energies: -6.642 eV/f.u. The uncorrected energy is -4.598 eV per atom. Its space-group type is No. 11. Its total moment is 0.00 Bohr magnetons per cell.

Record 6
VASP calculation (PBE-GGA) on a geometry-optimized KHfBe2Fe structure.

Cell lengths 4.562, 4.562, 4.485 Å; angles 90.00, 90.00, 90.00 degrees
Fractional coordinates of all 5 atoms:
K (0.000, 0.000, 0.000)
Hf (0.500, 0.500, 0.000)
Be (0.000, 0.500, 0.500)
Be (0.500, 0.000, 0.500)
Fe (0.500, 0.500, 0.500)

Results
The uncorrected energy is -4.699 eV per atom. Its space-group type is No. 123. Its total moment is 0.01 Bohr magnetons per cell.

Record 7
VASP calculation (PBE-GGA) on a geometry-optimized KHfHg2Te structure.

Cell lengths 5.643, 5.643, 6.225 Å; angles 90.00, 90.00, 90.00 degrees
Fractional coordinates of all 5 atoms:
K (0.000, 0.000, 0.000)
Hf (0.500, 0.500, 0.500)
Hg (0.000, 0.500, 0.000)
Hg (0.500, 0.000, 0.000)
Te (0.000, 0.000, 0.500)

Results
As for the formation energy from raw total energies: 4.810 eV/f.u. The uncorrected energy is -1.997 eV per atom. Its space-group type is No. 123. Its total moment is 1.55 Bohr magnetons per cell.

Record 8
VASP calculation (PBE-GGA) on a geometry-optimized Mg3FePd12 structure.

Cell lengths 3.956, 3.956, 15.744 Å; angles 90.00, 90.00, 90.00 degrees
Fractional coordinates of all 16 atoms:
Mg (0.000, 0.000, 0.000)
Mg (0.000, 0.000, 0.252)
Mg (0.000, 0.000, 0.748)
Fe (0.000, 0.000, 0.500)
Pd (0.000, 0.500, 0.126)
Pd (0.000, 0.500, 0.381)
Pd (0.000, 0.500, 0.619)
Pd (0.000, 0.500, 0.874)
Pd (0.500, 0.000, 0.126)
Pd (0.500, 0.000, 0.381)
Pd (0.500, 0.000, 0.619)
Pd (0.500, 0.000, 0.874)
Pd (0.500, 0.500, 0.000)
Pd (0.500, 0.500, 0.253)
Pd (0.500, 0.500, 0.500)
Pd (0.500, 0.500, 0.747)

Results
The uncorrected energy is -5.097 eV per atom. Its space-group type is No. 123. Its total moment is 4.21 Bohr magnetons per cell.

Record 9
VASP calculation (PBE-GGA) on a geometry-optimized Zr2Br structure.

Cell lengths 5.249, 5.249, 5.554 Å; angles 90.00, 90.00, 120.00 degrees
Fractional coordinates of all 6 atoms:
Zr (0.000, 0.000, 0.000)
Zr (0.000, 0.000, 0.500)
Zr (0.333, 0.667, 0.250)
Zr (0.667, 0.333, 0.750)
Br (0.333, 0.667, 0.750)
Br (0.667, 0.333, 0.250)

Results
As for the formation energy from raw total energies: 0.780 eV/f.u. The uncorrected energy is -5.996 eV per atom. The distance to the lowest polymorph of the same formula comes out at 599.0 meV/atom. Its space-group type is No. 194. Its total moment is 0.00 Bohr magnetons per cell.

Record 10
VASP calculation (PBE-GGA) on a geometry-optimized AcThHg structure.

Cell lengths 5.492, 5.492, 3.913 Å; angles 90.00, 90.00, 120.00 degrees
Fractional coordinates of all 3 atoms:
Ac (0.000, 0.000, 0.000)
Th (0.333, 0.667, 0.498)
Hg (0.667, 0.333, 0.503)

Results
The uncorrected energy is -3.951 eV per atom. The distance to the lowest polymorph of the same formula comes out at 137.7 meV/atom. Its space-group type is No. 156. Its total moment is 0.00 Bohr magnetons per cell.

Record 11
VASP calculation (PBE-GGA) on a geometry-optimized LaZr2Te structure.

Cell lengths 6.895, 6.895, 6.895 Å; angles 101.51, 101.51, 126.94 degrees
Fractional coordinates of all 8 atoms:
La (0.000, 0.000, 0.000)
La (0.750, 0.250, 0.500)
Zr (0.183, 0.625, 0.058)
Zr (0.375, 0.433, 0.558)
Zr (0.567, 0.125, 0.942)
Zr (0.875, 0.817, 0.442)
Te (0.250, 0.750, 0.500)
Te (0.500, 0.500, 0.000)

Results
As for the formation energy from raw total energies: -0.180 eV/f.u. The uncorrected energy is -6.336 eV per atom. Its space-group type is No. 122. Its total moment is 0.00 Bohr magnetons per cell.

Record 12
VASP calculation (PBE-GGA) on a geometry-optimized Tb2Y2ErTm2 structure.

Cell lengths 8.735, 8.735, 8.735 Å; angles 37.60, 37.60, 37.60 degrees
Fractional coordinates of all 7 atoms:
Tb (0.214, 0.214, 0.214)
Tb (0.786, 0.786, 0.786)
Y (0.359, 0.359, 0.359)
Y (0.641, 0.641, 0.641)
Er (0.500, 0.500, 0.500)
Tm (0.070, 0.070, 0.070)
Tm (0.930, 0.930, 0.930)

Results
The uncorrected energy is -4.966 eV per atom. Its space-group type is No. 166. Its total moment is 0.01 Bohr magnetons per cell.